Entry 1:
DFT (PBE) results for a relaxed MgTaGe2 crystal.

Calculated values
Space-group type: I-42d (122)
Uncorrected energy in eV per atom: -5.3595
Density of states at the Fermi level in states/eV/atom: 0.9734
M_tot in μB per cell: 0.00

Unit cell a=7.2664 b=7.2664 c=5.9085 alpha=52.06 beta=52.06 gamma=90.00
Fractional coordinates of all 8 atoms:
Ge 0.1148 0.6250 0.2500
Ge 0.6352 0.1250 0.2500
Ge 0.8750 0.8852 0.7500
Ge 0.3750 0.3648 0.7500
Ta 0.0000 0.0000 0.0000
Ta 0.7500 0.2500 0.5000
Mg 0.2500 0.7500 0.5000
Mg 0.5000 0.5000 0.0000

Entry 2:
DFT (PBE) results for a relaxed TeSe2I2 crystal.

Calculated values
Formation energy without anion corrections in eV per atom: 0.101
Space-group type: C2/m (12)
Energy above the most stable polymorph in this dataset in meV per atom: 0
M_tot in μB per cell: 0.00

Unit cell a=9.0787 b=7.5947 c=9.2465 alpha=69.51 beta=54.15 gamma=53.29
Fractional coordinates of all 10 atoms:
Se 0.1426 0.0000 0.6983
Se 0.8574 0.0000 0.3017
Se 0.6798 0.0000 0.1919
Se 0.3202 0.0000 0.8081
I 0.5417 0.3669 0.7465
I 0.9086 0.6331 0.7465
I 0.0914 0.3669 0.2535
I 0.4583 0.6331 0.2535
Te 0.8498 0.3004 0.0000
Te 0.1502 0.6996 0.0000

Entry 3:
DFT (PBE) results for a relaxed Pm3Nd8Y3 crystal.

Calculated values
Space-group type: Immm (71)
Uncorrected energy in eV per atom: -5.0255
Density of states at the Fermi level in states/eV/atom: 1.2441
M_tot in μB per cell: 0.00

Unit cell a=5.7299 b=9.8922 c=9.8922 alpha=102.48 beta=73.16 gamma=73.16
Fractional coordinates of all 14 atoms:
Nd 0.6575 0.1180 0.5670
Nd 0.3425 0.4330 0.8820
Nd 0.1626 0.4415 0.2333
Nd 0.3425 0.8820 0.4330
Nd 0.6575 0.5670 0.1180
Nd 0.1626 0.2333 0.4415
Nd 0.8374 0.7667 0.5585
Nd 0.8374 0.5585 0.7667
Pm 0.5000 0.5000 0.5000
Pm 0.1963 0.8037 0.8037
Pm 0.8037 0.1963 0.1963
Y 0.5000 0.0000 0.0000
Y 0.0000 0.1816 0.8184
Y 0.0000 0.8184 0.1816

Entry 4:
DFT (PBE) results for a relaxed NpScTe2 crystal.

Calculated values
Formation energy without anion corrections in eV per atom: -0.277
Space-group type: R-3m (166)
Energy above the most stable polymorph in this dataset in meV per atom: 552
Density of states at the Fermi level in states/eV/atom: 2.8141
M_tot in μB per cell: 4.39

Unit cell a=4.0951 b=4.0951 c=9.8462 alpha=78.00 beta=78.00 gamma=60.00
Fractional coordinates of all 4 atoms:
Sc 0.0000 0.0000 0.0000
Te 0.0979 0.0979 0.7064
Te 0.9021 0.9021 0.2936
Np 0.5000 0.5000 0.5000

Entry 5:
DFT (PBE) results for a relaxed Ca2Ni crystal.

Calculated values
Space-group type: P1 (1)
Uncorrected energy in eV per atom: -3.3011
Density of states at the Fermi level in states/eV/atom: 0.5268
M_tot in μB per cell: 0.00

Unit cell a=3.8280 b=6.6776 c=7.0463 alpha=77.88 beta=89.86 gamma=89.97
Fractional coordinates of all 6 atoms:
Ca 0.1795 0.8522 0.7825
Ca 0.6786 0.3563 0.7223
Ca 0.1774 0.2623 0.1706
Ca 0.1768 0.7331 0.2918
Ni 0.6782 0.6099 0.0309
Ni 0.6779 0.9756 0.0304

Entry 6:
DFT (PBE) results for a relaxed RbTi2V crystal.

Calculated values
Space-group type: Fm-3m (225)
Energy above the most stable polymorph in this dataset in meV per atom: 124
Density of states at the Fermi level in states/eV/atom: 1.2235
M_tot in μB per cell: 3.80

Unit cell a=4.9705 b=4.9705 c=4.9705 alpha=60.00 beta=60.00 gamma=60.00
Fractional coordinates of all 4 atoms:
V 0.0000 0.0000 0.0000
Rb 0.5000 0.5000 0.5000
Ti 0.2500 0.2500 0.2500
Ti 0.7500 0.7500 0.7500

Entry 7:
DFT (PBE) results for a relaxed AlMoAu2 crystal.

Calculated values
Space-group type: Cm (8)
Uncorrected energy in eV per atom: -5.2879
Density of states at the Fermi level in states/eV/atom: 0.4542
M_tot in μB per cell: 0.00

Unit cell a=5.4915 b=5.4915 c=5.1576 alpha=62.52 beta=62.52 gamma=29.13
Fractional coordinates of all 4 atoms:
Al 0.2464 0.2464 0.3479
Mo 0.5132 0.5132 0.4025
Au 0.7561 0.7561 0.8046
Au 0.9843 0.9843 0.9451

Entry 8:
DFT (PBE) results for a relaxed Mg2TlPd2 crystal.

Calculated values
Space-group type: I4/mmm (139)
Uncorrected energy in eV per atom: -3.4104
Density of states at the Fermi level in states/eV/atom: 0.4141
M_tot in μB per cell: 0.00

Unit cell a=3.9787 b=3.9787 c=7.1842 alpha=73.92 beta=73.92 gamma=90.00
Fractional coordinates of all 5 atoms:
Pd 0.2500 0.7500 0.5000
Pd 0.7500 0.2500 0.5000
Mg 0.6193 0.6193 0.7613
Mg 0.3807 0.3807 0.2387
Tl 0.0000 0.0000 0.0000

Entry 9:
DFT (PBE) results for a relaxed Ac2TbPmS6 crystal.

Calculated values
Formation energy without anion corrections in eV per atom: -2.096
Space-group type: R3 (146)
Density of states at the Fermi level in states/eV/atom: 0.0000
M_tot in μB per cell: 0.00

Unit cell a=7.3302 b=7.3301 c=7.5700 alpha=61.04 beta=61.04 gamma=60.00
Fractional coordinates of all 10 atoms:
S 0.6828 0.1075 0.7635
S 0.6003 0.1866 0.2600
S 0.9531 0.6003 0.2600
S 0.4462 0.6828 0.7635
S 0.1866 0.9531 0.2600
S 0.1076 0.4462 0.7635
Ac 0.0274 0.0274 0.9178
Ac 0.5284 0.5283 0.4150
Tb 0.3154 0.3154 0.0538
Pm 0.8139 0.8139 0.5582

Entry 10:
DFT (PBE) results for a relaxed K2AlOs crystal.

Calculated values
Space-group type: P4/mmm (123)
Uncorrected energy in eV per atom: -3.0537
Density of states at the Fermi level in states/eV/atom: 0.8854
M_tot in μB per cell: 1.16

Unit cell a=4.5692 b=4.5692 c=5.3411 alpha=90.00 beta=90.00 gamma=90.00
Fractional coordinates of all 4 atoms:
Os 0.5000 0.5000 0.2500
K 0.0000 0.0000 0.0032
K 0.0000 0.0000 0.4968
Al 0.5000 0.5000 0.7500

Entry 11:
DFT (PBE) results for a relaxed DyErMgAg crystal.

Calculated values
Space-group type: F-43m (216)
Energy above the most stable polymorph in this dataset in meV per atom: 42
Density of states at the Fermi level in states/eV/atom: 1.0469
M_tot in μB per cell: 0.00

Unit cell a=5.2213 b=5.2213 c=5.2213 alpha=60.00 beta=60.00 gamma=60.00
Fractional coordinates of all 4 atoms:
Dy 0.0000 0.0000 0.0000
Ag 0.2500 0.2500 0.2500
Er 0.5000 0.5000 0.5000
Mg 0.7500 0.7500 0.7500

Entry 12:
DFT (PBE) results for a relaxed ZrMnTcIr crystal.

Calculated values
Space-group type: F-43m (216)
Uncorrected energy in eV per atom: -9.5161
Density of states at the Fermi level in states/eV/atom: 0.8641
M_tot in μB per cell: 3.40

Unit cell a=4.4875 b=4.4875 c=4.4875 alpha=60.00 beta=60.00 gamma=60.00
Fractional coordinates of all 4 atoms:
Zr 0.7500 0.7500 0.7500
Ir 0.0000 0.0000 0.0000
Tc 0.5000 0.5000 0.5000
Mn 0.2500 0.2500 0.2500

Entry 13:
DFT (PBE) results for a relaxed Nd5Te5P crystal.

Calculated values
Formation energy without anion corrections in eV per atom: -1.482
Space-group type: C2/m (12)
Density of states at the Fermi level in states/eV/atom: 0.3863
M_tot in μB per cell: 0.00

Unit cell a=6.2858 b=7.6792 c=8.8204 alpha=107.13 beta=90.00 gamma=114.16
Fractional coordinates of all 11 atoms:
Te 0.0000 0.0000 0.5000
Te 0.6709 0.3417 0.3367
Te 0.6626 0.3251 0.8221
Te 0.3374 0.6749 0.1779
Te 0.3291 0.6583 0.6633
Nd 0.8452 0.6904 0.6854
Nd 0.5000 0.0000 0.0000
Nd 0.1557 0.3114 0.8432
Nd 0.8443 0.6886 0.1568
Nd 0.1548 0.3096 0.3146
P 0.0000 0.0000 0.0000

Entry 14:
DFT (PBE) results for a relaxed CeTlGa crystal.

Calculated values
Space-group type: I4mm (107)
Energy above the most stable polymorph in this dataset in meV per atom: 254
Density of states at the Fermi level in states/eV/atom: 2.7197
M_tot in μB per cell: 1.12

Unit cell a=4.2299 b=4.2299 c=5.4369 alpha=112.89 beta=112.89 gamma=90.00
Fractional coordinates of all 3 atoms:
Tl 0.2788 0.2788 0.5577
Ga 0.9547 0.9547 0.9094
Ce 0.6165 0.6165 0.2329

Entry 15:
DFT (PBE) results for a relaxed TbZn2GaCu4 crystal.

Calculated values
Space-group type: R-3m (166)
Uncorrected energy in eV per atom: -3.4770
Density of states at the Fermi level in states/eV/atom: 0.4152
M_tot in μB per cell: 0.00

Unit cell a=4.2054 b=4.2054 c=8.5722 alpha=75.80 beta=75.80 gamma=60.00
Fractional coordinates of all 8 atoms:
Tb 0.0000 0.0000 0.0000
Zn 0.7544 0.7544 0.7367
Zn 0.2456 0.2456 0.2633
Cu 0.8709 0.8709 0.3873
Cu 0.4015 0.4015 0.7954
Cu 0.1291 0.1291 0.6127
Cu 0.5985 0.5985 0.2046
Ga 0.5000 0.5000 0.5000

Entry 16:
DFT (PBE) results for a relaxed KLi2CdSi crystal.

Calculated values
Formation energy without anion corrections in eV per atom: -0.021
Space-group type: P4/mmm (123)
Density of states at the Fermi level in states/eV/atom: 0.3254
M_tot in μB per cell: 0.00

Unit cell a=5.1101 b=5.1101 c=5.1639 alpha=90.00 beta=90.00 gamma=90.00
Fractional coordinates of all 5 atoms:
Li 0.5000 0.0000 0.0000
Li 0.0000 0.5000 0.0000
K 0.5000 0.5000 0.5000
Si 0.0000 0.0000 0.0000
Cd 0.0000 0.0000 0.5000

Entry 17:
DFT (PBE) results for a relaxed AcHoInSn crystal.

Calculated values
Space-group type: F-43m (216)
Uncorrected energy in eV per atom: -4.3193
Density of states at the Fermi level in states/eV/atom: 0.8590
M_tot in μB per cell: 0.00

Unit cell a=5.5734 b=5.5734 c=5.5734 alpha=60.00 beta=60.00 gamma=60.00
Fractional coordinates of all 4 atoms:
Ho 0.0000 0.0000 0.0000
In 0.7500 0.7500 0.7500
Sn 0.2500 0.2500 0.2500
Ac 0.5000 0.5000 0.5000

Entry 18:
DFT (PBE) results for a relaxed PaHgAu2O8 crystal.

Calculated values
Formation energy without anion corrections in eV per atom: -0.673
Space-group type: I-4m2 (119)
Density of states at the Fermi level in states/eV/atom: 0.4702
M_tot in μB per cell: 0.87

Unit cell a=6.1782 b=6.1782 c=6.1782 alpha=110.15 beta=110.15 gamma=108.12
Fractional coordinates of all 12 atoms:
O 0.7257 0.0390 0.6867
O 0.8896 0.7216 0.1681
O 0.9610 0.6477 0.6867
O 0.9610 0.2743 0.3133
O 0.5535 0.7216 0.8319
O 0.2784 0.1104 0.8319
O 0.2784 0.4465 0.1681
O 0.3523 0.0390 0.3133
Pa 0.0000 0.0000 0.0000
Au 0.7500 0.2500 0.5000
Au 0.5000 0.5000 0.0000
Hg 0.2500 0.7500 0.5000

Entry 19:
DFT (PBE) results for a relaxed PmEuIrPt crystal.

Calculated values
Space-group type: F-43m (216)
Uncorrected energy in eV per atom: -8.1843
Density of states at the Fermi level in states/eV/atom: 3.0996
M_tot in μB per cell: 6.70

Unit cell a=5.0163 b=5.0163 c=5.0163 alpha=60.00 beta=60.00 gamma=60.00
Fractional coordinates of all 4 atoms:
Ir 0.0000 0.0000 0.0000
Eu 0.7500 0.7500 0.7500
Pm 0.2500 0.2500 0.2500
Pt 0.5000 0.5000 0.5000

Entry 20:
DFT (PBE) results for a relaxed NpSO crystal.

Calculated values
Formation energy without anion corrections in eV per atom: -2.130
Space-group type: P-6m2 (187)
Density of states at the Fermi level in states/eV/atom: 2.4076
M_tot in μB per cell: 3.00

Unit cell a=3.9943 b=3.8043 c=3.8043 alpha=120.00 beta=90.00 gamma=90.00
Fractional coordinates of all 3 atoms:
O 0.1667 0.3333 0.6667
S 0.6667 0.6667 0.3333
Np 0.1666 0.0000 0.0000

Entry 21:
DFT (PBE) results for a relaxed ReAgCl crystal.

Calculated values
Formation energy without anion corrections in eV per atom: 0.829
Space-group type: Cm (8)
Energy above the most stable polymorph in this dataset in meV per atom: 266
Density of states at the Fermi level in states/eV/atom: 0.9269
M_tot in μB per cell: 0.00

Unit cell a=6.7853 b=6.7899 c=6.7899 alpha=155.16 beta=155.15 gamma=35.43
Fractional coordinates of all 3 atoms:
Ag 0.0264 0.0272 0.9992
Re 0.6795 0.6794 0.0001
Cl 0.2941 0.2934 0.0007

Entry 22:
DFT (PBE) results for a relaxed CePm2Sm3As6 crystal.

Calculated values
Space-group type: C2/m (12)
Uncorrected energy in eV per atom: -6.3082
Density of states at the Fermi level in states/eV/atom: 0.5121
M_tot in μB per cell: 0.51

Unit cell a=4.2247 b=8.4457 c=9.4316 alpha=102.91 beta=102.94 gamma=90.00
Fractional coordinates of all 12 atoms:
Sm 0.5000 0.5000 0.0000
Sm 0.1676 0.8326 0.3352
Sm 0.8324 0.1674 0.6648
As 0.3338 0.4157 0.6675
As 0.3347 0.9185 0.6693
As 0.6662 0.5843 0.3325
As 0.6653 0.0815 0.3307
As 0.9995 0.2473 0.9990
As 0.0005 0.7527 0.0010
Pm 0.1672 0.3349 0.3345
Pm 0.8328 0.6651 0.6655
Ce 0.5000 0.0000 0.0000

Entry 23:
DFT (PBE) results for a relaxed BaHfFeW2 crystal.

Calculated values
Space-group type: P4/mmm (123)
Uncorrected energy in eV per atom: -7.6886
Density of states at the Fermi level in states/eV/atom: 1.5186
M_tot in μB per cell: 0.00

Unit cell a=4.6392 b=5.1315 c=4.6392 alpha=90.00 beta=90.00 gamma=90.00
Fractional coordinates of all 5 atoms:
W 0.5000 0.0000 0.0000
W 0.0000 0.0000 0.5000
Hf 0.5000 0.5000 0.5000
Fe 0.0000 0.0000 0.0000
Ba 0.0000 0.5000 0.0000

Entry 24:
DFT (PBE) results for a relaxed Sc4As6Ru7 crystal.

Calculated values
Space-group type: Im-3m (229)
Uncorrected energy in eV per atom: -7.7319
Density of states at the Fermi level in states/eV/atom: 0.5326
M_tot in μB per cell: 0.00

Unit cell a=7.0589 b=7.0589 c=7.0589 alpha=109.47 beta=109.47 gamma=109.47
Fractional coordinates of all 17 atoms:
Ru 0.7500 0.5000 0.2500
Ru 0.7500 0.2500 0.5000
Ru 0.2500 0.7500 0.5000
Ru 0.2500 0.5000 0.7500
Ru 0.0000 0.0000 0.0000
Ru 0.5000 0.7500 0.2500
Ru 0.5000 0.2500 0.7500
As 0.3114 0.3114 0.0000
As 0.0000 0.3114 0.3114
As 0.6886 0.6886 0.0000
As 0.0000 0.6886 0.6886
As 0.3114 0.0000 0.3114
As 0.6886 0.0000 0.6886
Sc 0.0000 0.5000 0.0000
Sc 0.5000 0.5000 0.5000
Sc 0.0000 0.0000 0.5000
Sc 0.5000 0.0000 0.0000

Entry 25:
DFT (PBE) results for a relaxed Sm7Sn3 crystal.

Calculated values
Space-group type: C2/m (12)
Uncorrected energy in eV per atom: -4.9993
Density of states at the Fermi level in states/eV/atom: 1.0812
M_tot in μB per cell: 0.00

Unit cell a=4.9883 b=6.8327 c=9.3856 alpha=104.81 beta=105.41 gamma=90.00
Fractional coordinates of all 10 atoms:
Sm 0.5865 0.8220 0.1730
Sm 0.2059 0.1384 0.4119
Sm 0.4135 0.1780 0.8270
Sm 0.0000 0.5000 0.0000
Sm 0.3803 0.6535 0.7606
Sm 0.7941 0.8616 0.5881
Sm 0.6197 0.3465 0.2394
Sn 0.0000 0.0000 0.0000
Sn 0.1870 0.6435 0.3740
Sn 0.8130 0.3565 0.6260

Entry 26:
DFT (PBE) results for a relaxed Tb3Y2Pd2 crystal.

Calculated values
Space-group type: C2/m (12)
Uncorrected energy in eV per atom: -5.8349
Density of states at the Fermi level in states/eV/atom: 1.2870
M_tot in μB per cell: 0.00

Unit cell a=3.7605 b=6.4681 c=9.0616 alpha=115.27 beta=90.00 gamma=106.90
Fractional coordinates of all 7 atoms:
Tb 0.6141 0.2283 0.4405
Tb 0.5000 0.0000 0.0000
Tb 0.3859 0.7717 0.5595
Y 0.1565 0.3130 0.8116
Y 0.8435 0.6870 0.1884
Pd 0.8316 0.6631 0.7652
Pd 0.1684 0.3369 0.2348